VASP calculation (PBE) on a relaxed structure of NaDy3Ti2Sb2O14.

D(E_F): 0.00 states/eV per cell
Distance to the lowest polymorph of the same formula: 5 meV/atom
Symmetry: C2/m (12)
Raw formation energy: -2.701 eV/atom

Cell: 7.268 7.268 7.216 Å, 60.62 60.62 60.83°
Element x y z (fractional)
Na  0.000  0.000  0.000
Dy  0.000  0.000  0.500
Dy  0.500  0.000  0.000
Dy  0.000  0.500  0.000
Ti  0.500  0.500  0.500
Ti  0.500  0.500  0.000
Sb  0.000  0.500  0.500
Sb  0.500  0.000  0.500
O  0.571  0.571  0.181
O  0.169  0.169  0.574
O  0.174  0.578  0.579
O  0.563  0.176  0.175
O  0.176  0.563  0.175
O  0.578  0.174  0.579
O  0.429  0.429  0.819
O  0.831  0.831  0.426
O  0.826  0.422  0.421
O  0.437  0.824  0.825
O  0.824  0.437  0.825
O  0.422  0.826  0.421
O  0.867  0.867  0.870
O  0.133  0.133  0.130